Record 1
VASP calculation (PBE) on a relaxed structure of ErScBe.

Lattice parameters (Å, degrees): 4.6691 4.6691 6.6724 90.00 90.00 120.00
With the nearest neighbours (Å) after each atom.
Space group P6_3/mmc (No. 194)
One atom of each set of equivalent atoms:
Er (0.0000, 0.0000, 0.0000) [2 per cell]  6 Be 3.17, 6 Sc 3.17, 2 Er 3.34
Sc (0.3333, 0.6667, 0.2500) [2 per cell]  3 Be 2.70
Be (0.3333, 0.6667, 0.7500) [2 per cell]  3 Sc 2.70

Energy above the most stable polymorph in this dataset, meV per atom: 61

***

Record 2
VASP calculation (PBE) on a relaxed structure of Ta2NiPd2Se6.

Lattice parameters (Å, degrees): 6.1486 11.1429 6.3087 90.00 95.47 90.00
With the nearest neighbours (Å) after each atom.
Space group C2/m (No. 12)
One atom of each set of equivalent atoms:
Ta (0.0000, 0.1337, 0.0000) [4 per cell]  6 Se 2.57-2.76
Ni (0.0000, 0.5000, 0.0000) [2 per cell]  6 Se 2.48-2.61
Pd (0.0000, 0.1623, 0.5000) [4 per cell]  6 Se 2.58-2.84
Se (0.1640, 0.3327, 0.2213) [8 per cell]  1 Ni 2.48, 1 Pd 2.58, 2 Ta 2.63-2.76
Se (0.2137, 0.0000, 0.2803) [4 per cell]  2 Ta 2.57, 1 Ni 2.61, 2 Pd 2.70

Energy relative to the elements, uncorrected, eV/atom: -0.42

***

Record 3
VASP calculation (PBE) on a relaxed structure of AcMg2ZnPd2.

Lattice parameters (Å, degrees): 5.1619 5.1619 10.9763 90.00 90.00 90.00
With the nearest neighbours (Å) after each atom.
Space group I4/mmm (No. 139)
One atom of each set of equivalent atoms:
Ac (0.0000, 0.0000, 0.0000) [2 per cell]  2 Pd 3.04
Mg (0.0000, 0.5000, 0.2500) [4 per cell]  4 Pd 2.60
Zn (0.0000, 0.0000, 0.5000) [2 per cell]  2 Pd 2.45
Pd (0.0000, 0.0000, 0.2772) [4 per cell]  1 Zn 2.45, 4 Mg 2.60

***

Record 4
VASP calculation (PBE) on a relaxed structure of ReNiAg.

Lattice parameters (Å, degrees): 5.7547 5.7547 5.7547 90.00 90.00 90.00
With the nearest neighbours (Å) after each atom.
Space group F-43m (No. 216)
One atom of each set of equivalent atoms:
Re (0.0000, 0.0000, 0.0000) [4 per cell]  4 Ni 2.49
Ni (0.2500, 0.2500, 0.7500) [4 per cell]  4 Re 2.49, 4 Ag 2.49
Ag (0.0000, 0.0000, 0.5000) [4 per cell]  4 Ni 2.49

Energy above the most stable polymorph in this dataset, meV per atom: 576

***

Calculated calculated total energy in order - -4.772; -5.947; -3.530; -6.136 eV per atom